Entry from OQMD via LeMat-Bulk: crystalline HoTaGe at its relaxed geometry (PBE).

Unit cell a=4.8070 b=4.8070 c=4.8070 alpha=60.00 beta=60.00 gamma=60.00
With the nearest neighbours (Å) after each atom.
Positions (direct):
Ge 0.5000 0.5000 0.5000  4 Ho 2.94
Ho 0.2500 0.2500 0.2500  4 Ge 2.94, 4 Ta 2.94
Ta 0.0000 0.0000 0.0000  4 Ho 2.94

Energy: -17.90 eV/f.u.
Space-group type: F-43m (216)